# Dy4Cd2HgAu, relaxed, DFT GGA-PBE
data_Dy4Cd2HgAu
_cell_length_a 5.2353
_cell_length_b 5.2353
_cell_length_c 25.5562
_cell_angle_alpha 90.00
_cell_angle_beta 90.00
_cell_angle_gamma 120.00
_space_group_name_H-M_alt 'R -3 m'
_space_group_IT_number 166
_space_group_name_Hall '-R 3 2"'
loop_
_atom_site_label
_atom_site_fract_x
_atom_site_fract_y
_atom_site_fract_z
Dy1 0.0000 0.0000 0.1216
Dy2 0.0000 0.0000 0.3722
Cd1 0.0000 0.0000 0.2471
Hg1 0.0000 0.0000 0.5000
Au1 0.0000 0.0000 0.0000
# DFT formation energy = -0.48 eV/atom